Entry 1:
{
  "formula": "Nd2Tm4Th",
  "functional": "GGA-PBE",
  "state": "relaxed",
  "sg": "Cm",
  "energy_ev_per_atom": -4.95,
  "e_above_lowest_polymorph_mev_per_atom": 0.0,
  "lattice_angstrom": [[3.110, -1.796, 0.000], [3.110, 1.796, 0.000], [-2.082, 0.000, 20.075]],
  "species": ["Nd", "Nd", "Tm", "Tm", "Tm", "Tm", "Th"],
  "frac_coords": [[0.000, 0.000, 0.000], [0.095, 0.095, 0.288], [0.191, 0.191, 0.570], [0.286, 0.286, 0.855], [0.714, 0.714, 0.143], [0.811, 0.811, 0.433], [0.905, 0.905, 0.713]]
}

Entry 2:
{
  "formula": "NdTm3Th",
  "functional": "GGA-PBE",
  "state": "relaxed",
  "sg": "P2_1/m",
  "energy_ev_per_atom": -4.67,
  "e_above_lowest_polymorph_mev_per_atom": 338.7,
  "lattice_angstrom": [[5.719, 0.000, 0.000], [0.000, 11.299, 0.000], [-2.821, 0.000, 5.543]],
  "species": ["Nd", "Nd", "Tm", "Tm", "Tm", "Tm", "Tm", "Tm", "Th", "Th"],
  "frac_coords": [[0.147, 0.250, 0.296], [0.853, 0.750, 0.704], [0.167, 0.750, 0.332], [0.346, 0.012, 0.696], [0.346, 0.488, 0.696], [0.654, 0.512, 0.304], [0.654, 0.988, 0.304], [0.833, 0.250, 0.668], [0.472, 0.750, 0.943], [0.528, 0.250, 0.057]]
}

Entry 3:
{
  "formula": "Nd7Tm16Th6",
  "functional": "GGA-PBE",
  "state": "relaxed",
  "sg": "Fm-3m",
  "energy_ev_per_atom": -4.82,
  "lattice_angstrom": [[0.000, 7.827, 7.827], [7.827, 0.000, 7.827], [7.827, 7.827, 0.000]],
  "species": ["Nd", "Nd", "Nd", "Nd", "Nd", "Nd", "Nd", "Tm", "Tm", "Tm", "Tm", "Tm", "Tm", "Tm", "Tm", "Tm", "Tm", "Tm", "Tm", "Tm", "Tm", "Tm", "Tm", "Th", "Th", "Th", "Th", "Th", "Th"],
  "frac_coords": [[0.000, 0.000, 0.000], [0.000, 0.000, 0.500], [0.000, 0.500, 0.000], [0.000, 0.500, 0.500], [0.500, 0.000, 0.000], [0.500, 0.000, 0.500], [0.500, 0.500, 0.000], [0.024, 0.659, 0.659], [0.122, 0.122, 0.122], [0.122, 0.122, 0.634], [0.122, 0.634, 0.122], [0.341, 0.341, 0.341], [0.341, 0.341, 0.976], [0.341, 0.976, 0.341], [0.366, 0.878, 0.878], [0.634, 0.122, 0.122], [0.659, 0.024, 0.659], [0.659, 0.659, 0.024], [0.659, 0.659, 0.659], [0.878, 0.366, 0.878], [0.878, 0.878, 0.366], [0.878, 0.878, 0.878], [0.976, 0.341, 0.341], [0.331, 0.331, 0.669], [0.331, 0.669, 0.331], [0.331, 0.669, 0.669], [0.669, 0.331, 0.331], [0.669, 0.331, 0.669], [0.669, 0.669, 0.331]]
}

Entry 4:
{
  "formula": "NdTm6Th3",
  "functional": "GGA-PBE",
  "state": "relaxed",
  "sg": "P2_1/m",
  "energy_ev_per_atom": -5.30,
  "lattice_angstrom": [[13.035, 0.000, 0.000], [0.000, 3.494, 0.000], [-4.600, 0.000, 13.846]],
  "species": ["Nd", "Nd", "Tm", "Tm", "Tm", "Tm", "Tm", "Tm", "Tm", "Tm", "Tm", "Tm", "Tm", "Tm", "Th", "Th", "Th", "Th", "Th", "Th"],
  "frac_coords": [[0.081, 0.250, 0.196], [0.919, 0.750, 0.804], [0.144, 0.750, 0.011], [0.160, 0.250, 0.808], [0.214, 0.250, 0.601], [0.264, 0.750, 0.407], [0.338, 0.250, 0.223], [0.394, 0.750, 0.789], [0.606, 0.250, 0.211], [0.662, 0.750, 0.777], [0.736, 0.250, 0.593], [0.786, 0.750, 0.399], [0.840, 0.750, 0.192], [0.856, 0.250, 0.989], [0.009, 0.250, 0.395], [0.385, 0.250, 0.004], [0.465, 0.250, 0.592], [0.535, 0.750, 0.408], [0.615, 0.750, 0.996], [0.991, 0.750, 0.605]]
}

Entry 5:
{
  "formula": "Nd4Tm2Th",
  "functional": "GGA-PBE",
  "state": "relaxed",
  "sg": "Imma",
  "energy_ev_per_atom": -4.76,
  "e_above_lowest_polymorph_mev_per_atom": 117.2,
  "lattice_angstrom": [[-3.409, 5.797, 6.054], [3.409, -5.797, 6.054], [3.409, 5.797, -6.054]],
  "species": ["Nd", "Nd", "Nd", "Nd", "Nd", "Nd", "Nd", "Nd", "Tm", "Tm", "Tm", "Tm", "Th", "Th"],
  "frac_coords": [[0.159, 0.157, 0.002], [0.237, 0.211, 0.474], [0.237, 0.764, 0.026], [0.346, 0.843, 0.502], [0.654, 0.157, 0.498], [0.763, 0.236, 0.974], [0.763, 0.789, 0.526], [0.841, 0.843, 0.998], [0.000, 0.500, 0.500], [0.029, 0.279, 0.750], [0.500, 0.500, 0.000], [0.971, 0.721, 0.250], [0.500, 0.000, 0.000], [0.500, 0.500, 0.500]]
}

Entry 6:
{
  "formula": "Nd2Tm9Th",
  "functional": "GGA-PBE",
  "state": "relaxed",
  "sg": "P4/mmm",
  "energy_ev_per_atom": -4.74,
  "lattice_angstrom": [[4.985, 0.000, 0.000], [0.000, 4.985, 0.000], [0.000, 0.000, 15.002]],
  "species": ["Nd", "Nd", "Tm", "Tm", "Tm", "Tm", "Tm", "Tm", "Tm", "Tm", "Tm", "Th"],
  "frac_coords": [[0.000, 0.000, 0.168], [0.000, 0.000, 0.832], [0.000, 0.500, 0.000], [0.000, 0.500, 0.336], [0.000, 0.500, 0.664], [0.500, 0.000, 0.000], [0.500, 0.000, 0.336], [0.500, 0.000, 0.664], [0.500, 0.500, 0.167], [0.500, 0.500, 0.500], [0.500, 0.500, 0.833], [0.000, 0.000, 0.500]]
}

Entry 7:
{
  "formula": "NdTmTh4",
  "functional": "GGA-PBE",
  "state": "relaxed",
  "sg": "F-43m",
  "energy_ev_per_atom": -6.21,
  "e_above_lowest_polymorph_mev_per_atom": 225.8,
  "lattice_angstrom": [[0.000, 4.694, 4.694], [4.694, 0.000, 4.694], [4.694, 4.694, 0.000]],
  "species": ["Nd", "Tm", "Th", "Th", "Th", "Th"],
  "frac_coords": [[0.000, 0.000, 0.000], [0.750, 0.750, 0.750], [0.375, 0.375, 0.375], [0.375, 0.375, 0.874], [0.375, 0.874, 0.375], [0.874, 0.375, 0.375]]
}

Entry 8:
{
  "formula": "Nd3Tm6Th",
  "functional": "GGA-PBE",
  "state": "relaxed",
  "sg": "P2_1/m",
  "energy_ev_per_atom": -4.77,
  "e_above_lowest_polymorph_mev_per_atom": 57.4,
  "lattice_angstrom": [[13.227, 0.000, 0.000], [0.000, 3.522, 0.000], [-4.765, 0.000, 13.853]],
  "species": ["Nd", "Nd", "Nd", "Nd", "Nd", "Nd", "Tm", "Tm", "Tm", "Tm", "Tm", "Tm", "Tm", "Tm", "Tm", "Tm", "Tm", "Tm", "Th", "Th"],
  "frac_coords": [[0.006, 0.250, 0.395], [0.382, 0.250, 0.002], [0.468, 0.250, 0.597], [0.532, 0.750, 0.403], [0.618, 0.750, 0.998], [0.994, 0.750, 0.605], [0.138, 0.750, 0.012], [0.159, 0.250, 0.808], [0.219, 0.250, 0.599], [0.260, 0.750, 0.401], [0.331, 0.250, 0.218], [0.390, 0.750, 0.788], [0.610, 0.250, 0.212], [0.669, 0.750, 0.782], [0.740, 0.250, 0.599], [0.781, 0.750, 0.401], [0.841, 0.750, 0.192], [0.862, 0.250, 0.988], [0.080, 0.250, 0.197], [0.920, 0.750, 0.803]]
}

Entry 9:
{
  "formula": "Nd3Tm8Th3",
  "functional": "GGA-PBE",
  "state": "relaxed",
  "sg": "C2/m",
  "energy_ev_per_atom": -5.01,
  "lattice_angstrom": [[6.037, -7.505, 0.000], [6.037, 7.505, 0.000], [-2.595, 0.000, 4.963]],
  "species": ["Nd", "Nd", "Nd", "Tm", "Tm", "Tm", "Tm", "Tm", "Tm", "Tm", "Tm", "Th", "Th", "Th"],
  "frac_coords": [[0.000, 0.000, 0.000], [0.308, 0.308, 0.308], [0.692, 0.692, 0.692], [0.055, 0.263, 0.659], [0.067, 0.617, 0.842], [0.263, 0.055, 0.659], [0.383, 0.933, 0.158], [0.617, 0.067, 0.842], [0.737, 0.945, 0.341], [0.933, 0.383, 0.158], [0.945, 0.737, 0.341], [0.313, 0.687, 0.500], [0.500, 0.500, 0.000], [0.687, 0.313, 0.500]]
}

Entry 10:
{
  "formula": "Nd12TmTh5",
  "functional": "GGA-PBE",
  "state": "relaxed",
  "sg": "Cmmm",
  "energy_ev_per_atom": -5.45,
  "lattice_angstrom": [[7.680, -7.778, 0.000], [7.680, 7.778, 0.000], [0.000, 0.000, 5.134]],
  "species": ["Nd", "Nd", "Nd", "Nd", "Nd", "Nd", "Nd", "Nd", "Nd", "Nd", "Nd", "Nd", "Tm", "Th", "Th", "Th", "Th", "Th"],
  "frac_coords": [[0.009, 0.325, 0.500], [0.157, 0.843, 0.000], [0.175, 0.493, 0.000], [0.325, 0.009, 0.500], [0.337, 0.663, 0.500], [0.493, 0.175, 0.000], [0.507, 0.825, 0.000], [0.663, 0.337, 0.500], [0.675, 0.991, 0.500], [0.825, 0.507, 0.000], [0.843, 0.157, 0.000], [0.991, 0.675, 0.500], [0.500, 0.500, 0.000], [0.000, 0.000, 0.500], [0.169, 0.169, 0.000], [0.336, 0.336, 0.500], [0.664, 0.664, 0.500], [0.831, 0.831, 0.000]]
}

Entry 11:
{
  "formula": "Nd12TmTh7",
  "functional": "GGA-PBE",
  "state": "relaxed",
  "sg": "Im-3",
  "energy_ev_per_atom": -4.80,
  "lattice_angstrom": [[-5.822, 5.822, 5.822], [5.822, -5.822, 5.822], [5.822, 5.822, -5.822]],
  "species": ["Nd", "Nd", "Nd", "Nd", "Nd", "Nd", "Nd", "Nd", "Nd", "Nd", "Nd", "Nd", "Tm", "Th", "Th", "Th", "Th", "Th", "Th", "Th"],
  "frac_coords": [[0.080, 0.304, 0.776], [0.224, 0.527, 0.304], [0.224, 0.920, 0.696], [0.304, 0.224, 0.527], [0.304, 0.776, 0.080], [0.473, 0.696, 0.776], [0.527, 0.304, 0.224], [0.696, 0.224, 0.920], [0.696, 0.776, 0.473], [0.776, 0.080, 0.304], [0.776, 0.473, 0.696], [0.920, 0.696, 0.224], [0.000, 0.000, 0.000], [0.000, 0.000, 0.500], [0.000, 0.500, 0.000], [0.000, 0.500, 0.500], [0.500, 0.000, 0.000], [0.500, 0.000, 0.500], [0.500, 0.500, 0.000], [0.500, 0.500, 0.500]]
}

Entry 12:
{
  "formula": "Nd8Tm3Th",
  "functional": "GGA-PBE",
  "state": "relaxed",
  "sg": "C2",
  "energy_ev_per_atom": -4.79,
  "lattice_angstrom": [[7.827, -4.419, 0.000], [7.827, 4.419, 0.000], [-2.654, 0.000, 5.877]],
  "species": ["Nd", "Nd", "Nd", "Nd", "Nd", "Nd", "Nd", "Nd", "Tm", "Tm", "Tm", "Th"],
  "frac_coords": [[0.069, 0.069, 0.320], [0.164, 0.180, 0.933], [0.490, 0.009, 0.657], [0.510, 0.238, 0.363], [0.762, 0.490, 0.637], [0.820, 0.836, 0.067], [0.931, 0.931, 0.680], [0.991, 0.510, 0.343], [0.232, 0.521, 0.899], [0.312, 0.688, 0.500], [0.479, 0.768, 0.101], [0.691, 0.309, 0.000]]
}

Entry 13:
{
  "formula": "NdTm9Th2",
  "functional": "GGA-PBE",
  "state": "relaxed",
  "sg": "P4/mmm",
  "energy_ev_per_atom": -4.96,
  "e_above_lowest_polymorph_mev_per_atom": 0.0,
  "lattice_angstrom": [[4.973, 0.000, 0.000], [0.000, 4.973, 0.000], [0.000, 0.000, 14.970]],
  "species": ["Nd", "Tm", "Tm", "Tm", "Tm", "Tm", "Tm", "Tm", "Tm", "Tm", "Th", "Th"],
  "frac_coords": [[0.000, 0.000, 0.000], [0.000, 0.500, 0.170], [0.000, 0.500, 0.500], [0.000, 0.500, 0.830], [0.500, 0.000, 0.170], [0.500, 0.000, 0.500], [0.500, 0.000, 0.830], [0.500, 0.500, 0.000], [0.500, 0.500, 0.334], [0.500, 0.500, 0.666], [0.000, 0.000, 0.334], [0.000, 0.000, 0.666]]
}

Entry 14:
{
  "formula": "Nd2Tm2Th",
  "functional": "GGA-PBE",
  "state": "relaxed",
  "sg": "I4/mmm",
  "energy_ev_per_atom": -4.76,
  "e_above_lowest_polymorph_mev_per_atom": 407.5,
  "lattice_angstrom": [[-2.287, 2.287, 8.158], [2.287, -2.287, 8.158], [2.287, 2.287, -8.158]],
  "species": ["Nd", "Nd", "Tm", "Tm", "Th"],
  "frac_coords": [[0.250, 0.750, 0.500], [0.750, 0.250, 0.500], [0.093, 0.093, 0.000], [0.907, 0.907, 0.000], [0.500, 0.500, 0.000]]
}

Entry 15:
{
  "formula": "Nd2Tm12Th5",
  "functional": "GGA-PBE",
  "state": "relaxed",
  "sg": "C2/m",
  "energy_ev_per_atom": -5.06,
  "e_above_lowest_polymorph_mev_per_atom": 53.9,
  "lattice_angstrom": [[9.269, -3.519, 0.000], [9.269, 3.519, 0.000], [-3.989, 0.000, 9.291]],
  "species": ["Nd", "Nd", "Tm", "Tm", "Tm", "Tm", "Tm", "Tm", "Tm", "Tm", "Tm", "Tm", "Tm", "Tm", "Th", "Th", "Th", "Th", "Th"],
  "frac_coords": [[0.212, 0.788, 0.000], [0.788, 0.212, 0.000], [0.001, 0.001, 0.329], [0.086, 0.584, 0.488], [0.097, 0.588, 0.137], [0.412, 0.903, 0.863], [0.416, 0.914, 0.512], [0.473, 0.473, 0.765], [0.527, 0.527, 0.235], [0.584, 0.086, 0.488], [0.588, 0.097, 0.137], [0.903, 0.412, 0.863], [0.914, 0.416, 0.512], [0.999, 0.999, 0.671], [0.183, 0.183, 0.212], [0.311, 0.311, 0.815], [0.500, 0.500, 0.500], [0.689, 0.689, 0.185], [0.817, 0.817, 0.788]]
}

Entry 16:
{
  "formula": "NdTm4Th",
  "functional": "GGA-PBE",
  "state": "relaxed",
  "sg": "P-1",
  "energy_ev_per_atom": -4.99,
  "e_above_lowest_polymorph_mev_per_atom": 0.0,
  "lattice_angstrom": [[3.530, 0.000, 0.000], [0.002, 5.013, 0.000], [0.028, 0.008, 10.583]],
  "species": ["Nd", "Tm", "Tm", "Tm", "Tm", "Th"],
  "frac_coords": [[0.000, 0.000, 0.000], [0.001, 0.999, 0.335], [0.500, 0.500, 0.170], [0.500, 0.500, 0.830], [0.999, 0.001, 0.665], [0.500, 0.500, 0.500]]
}

Entry 17:
{
  "formula": "Nd5Tm2Th2",
  "functional": "GGA-PBE",
  "state": "relaxed",
  "sg": "P-1",
  "energy_ev_per_atom": -5.25,
  "lattice_angstrom": [[6.256, 0.000, 0.000], [1.057, 6.209, 0.000], [1.014, 1.927, 7.754]],
  "species": ["Nd", "Nd", "Nd", "Nd", "Nd", "Tm", "Tm", "Th", "Th"],
  "frac_coords": [[0.000, 0.000, 0.000], [0.109, 0.562, 0.772], [0.332, 0.672, 0.333], [0.668, 0.328, 0.667], [0.891, 0.438, 0.228], [0.446, 0.218, 0.117], [0.554, 0.782, 0.883], [0.227, 0.104, 0.550], [0.773, 0.896, 0.450]]
}

Entry 18:
{
  "formula": "NdTm6Th2",
  "functional": "GGA-PBE",
  "state": "relaxed",
  "sg": "C2/c",
  "energy_ev_per_atom": -5.02,
  "e_above_lowest_polymorph_mev_per_atom": 66.0,
  "lattice_angstrom": [[6.333, -7.056, 0.000], [6.333, 7.056, 0.000], [-1.306, 0.000, 6.413]],
  "species": ["Nd", "Nd", "Tm", "Tm", "Tm", "Tm", "Tm", "Tm", "Tm", "Tm", "Tm", "Tm", "Tm", "Tm", "Th", "Th", "Th", "Th"],
  "frac_coords": [[0.116, 0.884, 0.750], [0.884, 0.116, 0.250], [0.052, 0.223, 0.818], [0.059, 0.458, 0.268], [0.223, 0.052, 0.318], [0.275, 0.656, 0.997], [0.344, 0.725, 0.503], [0.458, 0.059, 0.768], [0.542, 0.941, 0.232], [0.656, 0.275, 0.497], [0.725, 0.344, 0.003], [0.777, 0.948, 0.682], [0.941, 0.542, 0.732], [0.948, 0.777, 0.182], [0.339, 0.391, 0.622], [0.391, 0.339, 0.122], [0.609, 0.661, 0.878], [0.661, 0.609, 0.378]]
}

Entry 19:
{
  "formula": "Nd3YTm6Th2",
  "functional": "GGA-PBE",
  "state": "relaxed",
  "sg": "C2/m",
  "energy_ev_per_atom": -5.18,
  "lattice_angstrom": [[3.088, -5.346, 0.000], [3.088, 5.346, 0.000], [-2.061, 0.000, 11.523]],
  "species": ["Nd", "Nd", "Nd", "Y", "Tm", "Tm", "Tm", "Tm", "Tm", "Tm", "Th", "Th"],
  "frac_coords": [[0.000, 0.000, 0.000], [0.334, 0.666, 0.000], [0.666, 0.334, 0.000], [0.500, 0.500, 0.500], [0.080, 0.418, 0.254], [0.244, 0.244, 0.746], [0.418, 0.080, 0.254], [0.582, 0.920, 0.746], [0.756, 0.756, 0.254], [0.920, 0.582, 0.746], [0.167, 0.833, 0.500], [0.833, 0.167, 0.500]]
}

| no. | formation energy (eV/f.u.) |
| --- | --- |
| 1 | 0.195 |
| 2 | 2.234 |
| 3 | 9.584 |
| 4 | 0.811 |
| 5 | 2.133 |
| 6 | 0.345 |
| 7 | 1.651 |
| 8 | 0.887 |
| 9 | 2.182 |
| 10 | 0.620 |
| 11 | 17.535 |
| 12 | 1.524 |
| 13 | 0.373 |
| 14 | 2.118 |
| 15 | 4.133 |
| 16 | 0.161 |
| 17 | 0.413 |
| 18 | 1.232 |
| 19 | 0.248 |